[1]
Compound: KLaSeN2
Source: Alexandria
Functional: GGA-PBE
Structure: relaxed

The value obtained for the energy relative to the elements, uncorrected is 1057 meV per atom. The value obtained for the offset from the most stable computed form is 847 meV per atom.

It has space group P4/mmm (No. 123), with a = 4.646 Å, b = 4.646 Å, c = 5.745 Å, α = 90.00°, β = 90.00° and γ = 90.00°. Symmetry generates all atoms from K at (0.000, 0.000, 0.000), La at (0.500, 0.500, 0.500), Se at (0.000, 0.000, 0.500) and N at (0.000, 0.500, 0.000).

[2]
Compound: NiBiSe
Source: Alexandria
Functional: GGA-PBE
Structure: relaxed

The value obtained for the energy relative to the elements, uncorrected is -213 meV per atom.

It has space group P3m1 (No. 156), with a = 3.7981 Å, b = 3.7981 Å, c = 5.1776 Å, α = 90.00°, β = 90.00° and γ = 120.00°. Symmetry generates all atoms from Ni at (0.0000, 0.0000, 0.0000), Bi at (0.3333, 0.6667, 0.6997) and Se at (0.6667, 0.3333, 0.1875).

[3]
Compound: DyY5Ho7
Source: Alexandria
Functional: GGA-PBE
Structure: relaxed

The calculation puts the formation energy at 0.2757 eV/atom.

It has space group Imm2 (No. 44), with a = 6.706 Å, b = 11.094 Å, c = 11.509 Å, α = 90.00°, β = 90.00° and γ = 90.00°. Symmetry generates all atoms from Dy at (0.000, 0.000, 0.000), Y at (0.000, 0.500, 0.195), Y at (0.232, 0.224, 0.196), Ho at (0.000, 0.000, 0.392), Ho at (0.000, 0.000, 0.696), Ho at (0.000, 0.329, 0.446), Ho at (0.000, 0.329, 0.946) and Ho at (0.000, 0.500, 0.696).

[4]
Compound: CaSiP2
Source: Alexandria
Functional: GGA-PBE
Structure: relaxed

The value obtained for the energy relative to the elements, uncorrected is -413 meV per atom.

It has space group R-3m (No. 166, hexagonal axes), with a = 3.6424 Å, b = 3.6424 Å, c = 19.7709 Å, α = 90.00°, β = 90.00° and γ = 120.00°. Symmetry generates all atoms from Ca at (0.0000, 0.0000, 0.0000), Si at (0.0000, 0.0000, 0.5000) and P at (0.0000, 0.0000, 0.2315).

[5]
Compound: NaLa3Ag4
Source: Alexandria
Functional: GGA-PBE
Structure: relaxed

The calculation puts the formation energy at -0.1905 eV/atom.

It has space group R-3m (No. 166, hexagonal axes), with a = 5.3452 Å, b = 5.3452 Å, c = 26.2473 Å, α = 90.00°, β = 90.00° and γ = 120.00°. Symmetry generates all atoms from Na at (0.0000, 0.0000, 0.0000), La at (0.0000, 0.0000, 0.2545), La at (0.0000, 0.0000, 0.5000), Ag at (0.0000, 0.0000, 0.1285) and Ag at (0.0000, 0.0000, 0.3775).

[6]
Compound: TaOsS4
Source: Alexandria
Functional: GGA-PBE
Structure: relaxed

The value obtained for the energy relative to the elements, uncorrected is -422 meV per atom.

It has space group C2/c (No. 15), with a = 7.917 Å, b = 13.451 Å, c = 5.631 Å, α = 90.00°, β = 134.63° and γ = 90.00°. Symmetry generates all atoms from Ta at (0.000, 0.195, 0.250), Os at (0.000, 0.444, 0.750), S at (0.180, 0.308, 0.142) and S at (0.228, 0.057, 0.297).

Q: What is the formula in the fourth record?
A: CaSiP2